{
  "formula": "Sm2InO",
  "functional": "PBE",
  "state": "optimized geometry",
  "lattice": [[3.1650, 0.0000, 0.0000], [0.0000, 3.1650, 0.0000], [0.0000, 0.0000, 8.1212]],
  "species": ["Sm", "Sm", "In", "O"],
  "fractional_positions": [[0.0000, 0.0000, 0.1941], [0.0000, 0.0000, 0.8059], [0.5000, 0.5000, 0.5000], [0.5000, 0.5000, 0.0000]],
  "sg": "P4/mmm",
  "relative_energy_ev_per_atom": 0.420
}

{
  "formula": "Sm2InO",
  "functional": "PBE",
  "state": "optimized geometry",
  "lattice": [[6.5682, 0.0000, 0.0000], [0.0000, 6.5682, 0.0000], [-0.0225, 0.0000, 9.0336]],
  "species": ["Sm", "Sm", "Sm", "Sm", "Sm", "Sm", "Sm", "Sm", "In", "In", "In", "In", "O", "O", "O", "O"],
  "fractional_positions": [[0.0000, 0.2500, 0.0000], [0.0000, 0.7500, 0.0000], [0.2491, 0.0000, 0.6701], [0.2509, 0.5000, 0.3299], [0.5000, 0.2500, 0.0000], [0.5000, 0.7500, 0.0000], [0.7491, 0.5000, 0.6701], [0.7509, 0.0000, 0.3299], [0.2490, 0.5000, 0.6997], [0.2510, 0.0000, 0.3003], [0.7490, 0.0000, 0.6997], [0.7510, 0.5000, 0.3003], [0.2496, 0.0000, 0.9274], [0.2504, 0.5000, 0.0726], [0.7504, 0.0000, 0.0726], [0.7496, 0.5000, 0.9274]],
  "sg": "C2/m",
  "relative_energy_ev_per_atom": 0.000
}

{
  "formula": "Sm3InO",
  "functional": "PBE",
  "state": "optimized geometry",
  "lattice": [[-2.4071, 2.4519, 10.3194], [2.4071, -2.4519, 10.3194], [2.4071, 2.4519, -10.3194]],
  "species": ["Sm", "Sm", "Sm", "Sm", "Sm", "Sm", "In", "In", "O", "O"],
  "fractional_positions": [[0.0745, 0.8245, 0.2500], [0.3085, 0.0585, 0.2500], [0.4429, 0.6929, 0.7500], [0.5571, 0.3071, 0.2500], [0.6915, 0.9415, 0.7500], [0.9255, 0.1755, 0.7500], [0.1846, 0.4346, 0.7500], [0.8154, 0.5654, 0.2500], [0.4341, 0.1841, 0.2500], [0.5659, 0.8159, 0.7500]],
  "sg": "Imma"
}

DOS at the Fermi energy, record by record: 2.403, 15.773, 6.110 states/eV per cell
Formation energy from raw total energies, record by record: -1179, -1599, -1318 meV/atom